--- one ---
# NaTl4Pb3

A relaxed NaTl4Pb3 crystal (PBE, the Alexandria database).

## Properties
Its density of states at the Fermi level is 3.54 states/eV/cell. The calculation puts the size of the total moment at 0.000 μB/f.u. Its theoretical density is 9.992 g cm⁻³.

Structure (extended XYZ):
```
8
Lattice="11.847 -1.790 0.000 11.847 1.790 0.000 -1.196 0.000 5.729" Properties=species:S:1:pos:R:3 pbc="T T T"
Na 0.000 0.000 0.000
Tl 1.961 0.000 4.474
Tl 5.599 0.000 1.422
Tl 16.900 0.000 4.307
Tl 20.537 0.000 1.254
Pb 8.066 0.000 4.082
Pb 11.249 0.000 2.864
Pb 14.432 0.000 1.647
```


--- two ---
# NaTl4Pb3

A relaxed NaTl4Pb3 crystal (PBE, the Alexandria database).

## Properties
Its density of states at the Fermi level is 3.20 states/eV/cell. The calculation puts the size of the total moment at 0.000 μB/f.u. Its theoretical density is 10.033 g cm⁻³.

Structure (extended XYZ):
```
8
Lattice="6.047 0.000 0.000 0.027 6.961 0.000 2.137 3.377 5.749" Properties=species:S:1:pos:R:3 pbc="T T T"
Na 0.000 0.000 0.000
Tl 1.069 1.688 2.874
Tl 1.082 5.169 2.874
Tl 4.096 3.430 2.921
Tl 4.115 6.907 2.827
Pb 0.013 3.480 0.000
Pb 5.158 5.149 5.740
Pb 3.053 5.188 0.009
```


It is two that is most stable; the runner-up trails by 13 meV per atom.


--- one ---
# Na2TlPb4

A relaxed Na2TlPb4 crystal (PBE, the Alexandria database).

## Properties
Its density of states at the Fermi level is 6.88 states/eV/cell. The calculation puts the size of the total moment at 0.000 μB/f.u. Its theoretical density is 7.724 g cm⁻³.

Structure (extended XYZ):
```
14
Lattice="6.421 -3.313 0.000 6.421 3.313 0.000 0.000 0.000 10.907" Properties=species:S:1:pos:R:3 pbc="T T T"
Na 1.872 0.000 0.000
Na 4.549 0.000 5.453
Na 8.293 0.000 5.453
Na 10.970 0.000 0.000
Tl 0.000 0.000 5.453
Tl 6.421 0.000 0.000
Pb 3.210 1.642 8.180
Pb 6.421 1.666 8.184
Pb 6.421 1.646 2.731
Pb 3.210 -1.642 2.727
Pb 9.631 1.642 8.180
Pb 6.421 -1.646 8.176
Pb 6.421 -1.666 2.723
Pb 9.631 -1.642 2.727
```


--- two ---
# Na2TlPb4

A relaxed Na2TlPb4 crystal (PBE, the Alexandria database).

## Properties
Its density of states at the Fermi level is 2.08 states/eV/cell. The calculation puts the size of the total moment at 0.000 μB/f.u. Its theoretical density is 8.384 g cm⁻³.

Structure (extended XYZ):
```
7
Lattice="3.262 -5.665 0.000 3.262 5.665 0.000 -3.033 0.000 5.784" Properties=species:S:1:pos:R:3 pbc="T T T"
Na 3.262 2.870 0.000
Na 3.262 -2.870 0.000
Tl -1.516 0.000 2.892
Pb 1.667 0.000 0.518
Pb 1.745 2.253 2.892
Pb 1.745 -2.253 2.892
Pb 1.823 0.000 5.266
```


It is two that is most stable; the runner-up trails by 56 meV per atom.


--- one ---
# Na2Tl3Pb4

A relaxed Na2Tl3Pb4 crystal (PBE, the Alexandria database).

## Properties
Its density of states at the Fermi level is 4.10 states/eV/cell. The calculation puts the size of the total moment at 0.000 μB/f.u. Its theoretical density is 9.198 g cm⁻³.

Structure (extended XYZ):
```
9
Lattice="5.614 -2.502 0.000 5.614 2.502 0.000 -3.967 0.000 9.562" Properties=species:S:1:pos:R:3 pbc="T T T"
Na 0.961 0.000 2.123
Na 6.301 0.000 7.439
Tl -0.331 0.000 5.347
Tl 5.614 0.000 0.000
Tl 7.593 0.000 4.215
Pb -1.665 0.000 8.495
Pb 4.257 0.000 3.191
Pb 3.005 0.000 6.371
Pb 8.927 0.000 1.067
```


--- two ---
# Na2Tl3Pb4

A relaxed Na2Tl3Pb4 crystal (PBE, the Alexandria database).

## Properties
Its density of states at the Fermi level is 4.38 states/eV/cell. The calculation puts the size of the total moment at 0.000 μB/f.u. Its theoretical density is 8.913 g cm⁻³.

Structure (extended XYZ):
```
9
Lattice="3.526 0.000 0.000 -1.763 3.054 0.000 0.000 0.000 25.742" Properties=species:S:1:pos:R:3 pbc="T T T"
Na 0.000 0.000 0.000
Na 0.000 0.000 5.370
Tl 0.000 0.000 20.182
Tl 0.000 2.036 2.695
Tl 0.000 2.036 11.375
Pb 0.000 0.000 8.548
Pb 0.000 0.000 14.356
Pb 0.000 2.036 17.207
Pb 0.000 2.036 23.017
```


It is one that is most stable; the runner-up trails by 71 meV per atom.


--- one ---
# Na2Tl6Pb

A relaxed Na2Tl6Pb crystal (PBE, the Alexandria database).

## Properties
Its density of states at the Fermi level is 2.91 states/eV/cell. The calculation puts the size of the total moment at 0.000 μB/f.u. Its theoretical density is 9.035 g cm⁻³.

Structure (extended XYZ):
```
9
Lattice="8.253 -1.707 0.000 8.253 1.707 0.000 -6.587 0.000 9.650" Properties=species:S:1:pos:R:3 pbc="T T T"
Na 0.669 0.000 2.935
Na 9.251 0.000 6.715
Tl -1.717 0.000 5.332
Tl -1.448 0.000 8.594
Tl 5.811 0.000 2.372
Tl 4.109 0.000 7.278
Tl 11.368 0.000 1.056
Tl 11.637 0.000 4.319
Pb 8.253 0.000 0.000
```


--- two ---
# Na2Tl6Pb

A relaxed Na2Tl6Pb crystal (PBE, the Alexandria database).

## Properties
Its density of states at the Fermi level is 7.51 states/eV/cell. The calculation puts the size of the total moment at 0.000 μB/f.u. Its theoretical density is 9.160 g cm⁻³.

Structure (extended XYZ):
```
18
Lattice="7.861 -5.825 0.000 7.861 5.825 0.000 -0.895 0.000 5.857" Properties=species:S:1:pos:R:3 pbc="T T T"
Na 2.515 1.470 0.497
Na 2.068 -1.470 3.426
Na 12.758 1.470 2.431
Na 12.311 -1.470 5.360
Tl 6.555 4.362 2.746
Tl 3.800 1.447 3.738
Tl 8.719 4.362 0.183
Tl 5.922 1.455 1.121
Tl 4.247 -1.447 0.810
Tl 9.351 1.455 1.808
Tl 5.475 -1.455 4.050
Tl 10.579 1.447 5.048
Tl 8.904 -1.455 4.736
Tl 6.107 -4.362 5.675
Tl 11.026 -1.447 2.119
Tl 8.271 -4.362 3.111
Pb 7.189 1.500 4.393
Pb 7.637 -1.500 1.464
```


It is two that is most stable; the runner-up trails by 14 meV per atom.


--- one ---
# Na3Tl2Pb3

A relaxed Na3Tl2Pb3 crystal (PBE, the Alexandria database).

## Properties
Its density of states at the Fermi level is 3.54 states/eV/cell. The calculation puts the size of the total moment at 0.000 μB/f.u. Its theoretical density is 7.729 g cm⁻³.

Structure (extended XYZ):
```
8
Lattice="8.123 -2.727 0.000 8.123 2.727 0.000 -1.982 0.000 5.332" Properties=species:S:1:pos:R:3 pbc="T T T"
Na 0.000 0.000 0.000
Na 0.874 0.000 3.365
Na 13.390 0.000 1.968
Tl 3.550 0.000 1.326
Tl 10.714 0.000 4.006
Pb 4.369 0.000 4.668
Pb 7.132 0.000 2.666
Pb 9.895 0.000 0.665
```


--- two ---
# Na3Tl2Pb3

A relaxed Na3Tl2Pb3 crystal (PBE, the Alexandria database).

## Properties
Its density of states at the Fermi level is 4.02 states/eV/cell. The calculation puts the size of the total moment at 0.000 μB/f.u. Its theoretical density is 7.872 g cm⁻³.

Structure (extended XYZ):
```
8
Lattice="9.941 -2.437 0.000 9.941 2.437 0.000 -1.220 0.000 4.786" Properties=species:S:1:pos:R:3 pbc="T T T"
Na 0.000 0.000 0.000
Na 1.744 0.000 3.003
Na 16.918 0.000 1.782
Tl 4.620 0.000 1.186
Tl 14.041 0.000 3.599
Pb 6.431 0.000 4.193
Pb 9.331 0.000 2.393
Pb 12.230 0.000 0.592
```


It is two that is most stable; the runner-up trails by 15 meV per atom.


--- one ---
# NaTl3Pb3

A relaxed NaTl3Pb3 crystal (PBE, the Alexandria database).

## Properties
Its density of states at the Fermi level is 12.35 states/eV/cell. The calculation puts the size of the total moment at 0.000 μB/f.u. Its theoretical density is 6.725 g cm⁻³.

Structure (extended XYZ):
```
14
Lattice="8.532 0.000 0.000 0.000 8.532 0.000 0.000 0.000 8.532" Properties=species:S:1:pos:R:3 pbc="T T T"
Na 0.000 0.000 0.000
Na 4.266 4.266 4.266
Tl 0.000 2.133 4.266
Tl 0.000 6.399 4.266
Tl 2.133 4.266 0.000
Tl 4.266 0.000 2.133
Tl 4.266 0.000 6.399
Tl 6.399 4.266 0.000
Pb 0.000 4.266 2.133
Pb 0.000 4.266 6.399
Pb 2.133 0.000 4.266
Pb 4.266 2.133 0.000
Pb 4.266 6.399 0.000
Pb 6.399 0.000 4.266
```


--- two ---
# NaTl3Pb3

A relaxed NaTl3Pb3 crystal (PBE, the Alexandria database).

## Properties
Its density of states at the Fermi level is 4.03 states/eV/cell. The calculation puts the size of the total moment at 0.000 μB/f.u. Its theoretical density is 9.764 g cm⁻³.

Structure (extended XYZ):
```
14
Lattice="9.287 0.000 0.000 -4.643 8.043 0.000 0.000 0.000 5.728" Properties=species:S:1:pos:R:3 pbc="T T T"
Na 0.000 5.362 1.432
Na 4.643 2.681 4.296
Tl -3.342 6.484 1.432
Tl 0.700 1.907 1.432
Tl 2.001 0.347 4.296
Tl 2.643 7.695 1.432
Tl 3.944 6.136 4.296
Tl 7.986 1.559 4.296
Pb -1.943 4.901 4.296
Pb 1.370 3.909 4.296
Pb 4.071 0.768 1.432
Pb 0.573 7.275 4.296
Pb 3.273 4.133 1.432
Pb 6.586 3.141 1.432
```


It is two that is most stable; the runner-up trails by 374 meV per atom.